Record 1
Entry from Alexandria: an optimized crystal structure of GaAs2PdO8 (PBE-GGA).

- E (eV per atom) = -5.575
- crystal system = tetragonal
- energy relative to the elements, uncorrected (eV per atom) = -0.809

Unit cell a=6.5971 b=6.5971 c=6.3829 alpha=90.00 beta=90.00 gamma=90.00
Space group I-4m2 (No. 119)
Unique sites:
1 Ga 0.0000 0.0000 0.0000 (multiplicity 2)
2 As 0.0000 0.0000 0.5000 (multiplicity 2)
3 As 0.0000 0.5000 0.7500 (multiplicity 2)
4 Pd 0.0000 0.5000 0.2500 (multiplicity 2)
5 O 0.0000 0.1841 0.3037 (multiplicity 8)
6 O 0.0000 0.3025 0.9272 (multiplicity 8)



Record 2
Entry from Alexandria: an optimized crystal structure of PmGaAs2O8 (PBE-GGA).

- E (eV per atom) = -6.446
- crystal system = tetragonal
- energy relative to the elements, uncorrected (eV per atom) = -1.717

Unit cell a=7.1290 b=7.1290 c=6.1888 alpha=90.00 beta=90.00 gamma=90.00
Space group I-4m2 (No. 119)
Unique sites:
1 Pm 0.0000 0.0000 0.0000 (multiplicity 2)
2 Ga 0.0000 0.5000 0.2500 (multiplicity 2)
3 As 0.0000 0.0000 0.5000 (multiplicity 2)
4 As 0.0000 0.5000 0.7500 (multiplicity 2)
5 O 0.0000 0.1884 0.3237 (multiplicity 8)
6 O 0.0000 0.3268 0.9442 (multiplicity 8)



Record 3
Entry from Alexandria: an optimized crystal structure of RbGaAs2O8 (PBE-GGA).

- E (eV per atom) = -5.555
- crystal system = trigonal
- energy relative to the elements, uncorrected (eV per atom) = -1.142

Unit cell a=5.1134 b=5.1134 c=26.8223 alpha=90.00 beta=90.00 gamma=120.00
Space group R32 (No. 155, hexagonal axes)
Unique sites:
1 Rb 0.0000 0.0000 0.0000 (multiplicity 3)
2 Ga 0.0000 0.0000 0.5000 (multiplicity 3)
3 As 0.0000 0.0000 0.2320 (multiplicity 6)
4 O 0.0000 0.0000 0.2952 (multiplicity 6)
5 O 0.0091 0.3782 0.1211 (multiplicity 18)



Record 4
Entry from Alexandria: an optimized crystal structure of RbGaAsO4 (PBE-GGA).

- E (eV per atom) = -5.480
- crystal system = monoclinic
- energy relative to the elements, uncorrected (eV per atom) = -1.412

Unit cell a=6.4440 b=6.0710 c=6.6274 alpha=90.00 beta=100.02 gamma=90.00
Space group P2_1/m (No. 11)
Unique sites:
1 Rb 0.0859 0.2500 0.1025 (multiplicity 2)
2 Ga 0.3188 0.7500 0.5774 (multiplicity 2)
3 As 0.4144 0.2500 0.7041 (multiplicity 2)
4 O 0.2611 0.5041 0.7318 (multiplicity 4)
5 O 0.2902 0.7500 0.2832 (multiplicity 2)
6 O 0.3872 0.2500 0.4327 (multiplicity 2)



Record 5
Entry from Alexandria: an optimized crystal structure of Rb2GaAs2O6 (PBE-GGA).

- E (eV per atom) = -5.388
- crystal system = trigonal
- energy relative to the elements, uncorrected (eV per atom) = -1.387

Unit cell a=5.8027 b=5.8027 c=18.8145 alpha=90.00 beta=90.00 gamma=120.00
Space group R-3m (No. 166, hexagonal axes)
Unique sites:
1 Rb 0.0000 0.0000 0.2211 (multiplicity 6)
2 Ga 0.0000 0.0000 0.0000 (multiplicity 3)
3 As 0.0000 0.0000 0.4234 (multiplicity 6)
4 O 0.0056 0.5028 0.7313 (multiplicity 18)



Record 6
Entry from Alexandria: an optimized crystal structure of RbGa2AsO6 (PBE-GGA).

- E (eV per atom) = -5.759
- crystal system = monoclinic
- energy relative to the elements, uncorrected (eV per atom) = -1.617

Unit cell a=8.7833 b=12.0959 c=6.2565 alpha=90.00 beta=111.87 gamma=90.00
Space group C2/c (No. 15)
Unique sites:
1 Rb 0.0000 0.1001 0.2500 (multiplicity 4)
2 Ga 0.1222 0.4248 0.1391 (multiplicity 8)
3 As 0.0000 0.2059 0.7500 (multiplicity 4)
4 O 0.0723 0.2779 0.0033 (multiplicity 8)
5 O 0.1228 0.4544 0.4457 (multiplicity 8)
6 O 0.1447 0.1135 0.7322 (multiplicity 8)